Record 1
# CaZr2P (PBE, relaxed)
# - Energy of formation from the pure elements: -374 meV/atom
data_CaZr2P
_space_group_name_H-M_alt 'C m m m'
_space_group_IT_number 65
_space_group_name_Hall '-C 2 2'
_cell_length_a 5.593
_cell_length_b 10.229
_cell_length_c 3.571
_cell_angle_alpha 90.00
_cell_angle_beta 90.00
_cell_angle_gamma 90.00
loop_
_atom_site_label
_atom_site_type_symbol
_atom_site_fract_x
_atom_site_fract_y
_atom_site_fract_z
Ca1 Ca 0.000 0.000 0.000
Zr1 Zr 0.000 0.324 0.500
P1 P 0.000 0.500 0.000

Record 2
# MgZrZnOs (PBE, relaxed)
# - Energy of formation from the pure elements: -157 meV/atom
data_MgZrZnOs
_space_group_name_H-M_alt 'F -4 3 m'
_space_group_IT_number 216
_space_group_name_Hall 'F -4 2 3'
_cell_length_a 6.496
_cell_length_b 6.496
_cell_length_c 6.496
_cell_angle_alpha 90.00
_cell_angle_beta 90.00
_cell_angle_gamma 90.00
loop_
_atom_site_label
_atom_site_type_symbol
_atom_site_fract_x
_atom_site_fract_y
_atom_site_fract_z
Mg1 Mg 0.000 0.000 0.000
Zr1 Zr 0.000 0.000 0.500
Zn1 Zn 0.250 0.250 0.750
Os1 Os 0.250 0.250 0.250

Record 3
# PuTiRe4 (PBE, relaxed)
# - Energy of formation from the pure elements: -9 meV/atom
data_PuTiRe4
_space_group_name_H-M_alt 'F -4 3 m'
_space_group_IT_number 216
_space_group_name_Hall 'F -4 2 3'
_cell_length_a 7.506
_cell_length_b 7.506
_cell_length_c 7.506
_cell_angle_alpha 90.00
_cell_angle_beta 90.00
_cell_angle_gamma 90.00
loop_
_atom_site_label
_atom_site_type_symbol
_atom_site_fract_x
_atom_site_fract_y
_atom_site_fract_z
Pu1 Pu 0.000 0.000 0.000
Ti1 Ti 0.250 0.250 0.750
Re1 Re 0.124 0.124 0.376

Record 4
# RePtSN2 (PBE, relaxed)
# - Total energy: -6.13 eV per atom
data_RePtSN2
_space_group_name_H-M_alt 'P 4/m m m'
_space_group_IT_number 123
_space_group_name_Hall '-P 4 2'
_cell_length_a 3.671
_cell_length_b 3.671
_cell_length_c 8.153
_cell_angle_alpha 90.00
_cell_angle_beta 90.00
_cell_angle_gamma 90.00
loop_
_atom_site_label
_atom_site_type_symbol
_atom_site_fract_x
_atom_site_fract_y
_atom_site_fract_z
Re1 Re 0.000 0.000 0.000
Pt1 Pt 0.500 0.500 0.500
S1 S 0.500 0.500 0.000
N1 N 0.000 0.500 0.500